Record 1
{
  "formula": "Ca2CrSb2",
  "functional": "GGA-PBE",
  "state": "relaxed",
  "cell": [[7.697, 0.000, 0.000], [0.000, 7.697, 0.000], [0.000, 0.000, 4.591]],
  "species": ["Ca", "Ca", "Ca", "Ca", "Cr", "Cr", "Sb", "Sb", "Sb", "Sb"],
  "frac_coords": [[0.156, 0.344, 0.000], [0.344, 0.844, 0.000], [0.656, 0.156, 0.000], [0.844, 0.656, 0.000], [0.000, 0.000, 0.500], [0.500, 0.500, 0.500], [0.156, 0.656, 0.500], [0.344, 0.156, 0.500], [0.656, 0.844, 0.500], [0.844, 0.344, 0.500]],
  "magnetic_moment_mub_per_fu": 4.2,
  "spacegroup": "P4/mbm (127)",
  "formation_energy_uncorrected_ev_per_atom": -0.45,
  "e_tot_ha_per_atom": -0.177,
  "n_ef_per_ev_cell": 3.17,
  "volume_a3_per_cell": 272.0
}

---

Record 2
{
  "formula": "KMgTl2Cd",
  "functional": "GGA-PBE",
  "state": "relaxed",
  "cell": [[5.631, 0.000, 0.000], [0.000, 5.631, 0.000], [0.000, 0.000, 5.622]],
  "species": ["K", "Mg", "Tl", "Tl", "Cd"],
  "frac_coords": [[0.000, 0.000, 0.000], [0.500, 0.500, 0.500], [0.000, 0.500, 0.500], [0.500, 0.000, 0.500], [0.500, 0.500, 0.000]],
  "magnetic_moment_mub_per_fu": 0.0,
  "spacegroup": "P4/mmm (123)",
  "e_tot_ha_per_atom": -0.058,
  "n_ef_per_ev_cell": 2.88,
  "volume_a3_per_cell": 178.3,
  "formation_enthalpy_0k_ev_per_atom": 0.086
}

---

Record 3
{
  "formula": "LaYTl2",
  "functional": "GGA-PBE",
  "state": "relaxed",
  "cell": [[4.269, 0.000, 0.000], [0.000, 4.981, 0.000], [0.000, 0.000, 11.242]],
  "species": ["La", "La", "Y", "Y", "Tl", "Tl", "Tl", "Tl"],
  "frac_coords": [[0.000, 0.000, 0.000], [0.500, 0.500, 0.500], [0.000, 0.500, 0.760], [0.500, 0.000, 0.260], [0.000, 0.000, 0.538], [0.000, 0.500, 0.245], [0.500, 0.000, 0.745], [0.500, 0.500, 0.038]],
  "magnetic_moment_mub_per_fu": 0.0,
  "spacegroup": "Imm2 (44)",
  "e_tot_ha_per_atom": -0.160,
  "n_ef_per_ev_cell": 5.95,
  "volume_a3_per_cell": 239.1,
  "formation_enthalpy_0k_ev_per_atom": -0.327
}

---

Record 4
{
  "formula": "Na2TaSnPd",
  "functional": "GGA-PBE",
  "state": "relaxed",
  "cell": [[4.951, 0.000, 0.000], [0.000, 4.951, 0.000], [0.000, 0.000, 5.067]],
  "species": ["Na", "Na", "Ta", "Sn", "Pd"],
  "frac_coords": [[0.000, 0.500, 0.000], [0.500, 0.000, 0.000], [0.000, 0.000, 0.500], [0.500, 0.500, 0.500], [0.000, 0.000, 0.000]],
  "magnetic_moment_mub_per_fu": 0.0,
  "spacegroup": "P4/mmm (123)",
  "e_tot_ha_per_atom": -0.148,
  "n_ef_per_ev_cell": 3.25,
  "volume_a3_per_cell": 124.2,
  "formation_enthalpy_0k_ev_per_atom": 0.710
}

---

Record 5
{
  "formula": "Tb2CdAg5",
  "functional": "GGA-PBE",
  "state": "relaxed",
  "cell": [[5.067, 0.000, 0.000], [0.000, 5.067, 0.000], [0.000, 0.000, 13.396]],
  "species": ["Tb", "Tb", "Tb", "Tb", "Cd", "Cd", "Ag", "Ag", "Ag", "Ag", "Ag", "Ag", "Ag", "Ag", "Ag", "Ag"],
  "frac_coords": [[0.000, 0.000, 0.246], [0.000, 0.000, 0.754], [0.500, 0.500, 0.254], [0.500, 0.500, 0.746], [0.000, 0.000, 0.500], [0.500, 0.500, 0.000], [0.000, 0.000, 0.000], [0.000, 0.500, 0.113], [0.000, 0.500, 0.387], [0.000, 0.500, 0.613], [0.000, 0.500, 0.887], [0.500, 0.000, 0.113], [0.500, 0.000, 0.387], [0.500, 0.000, 0.613], [0.500, 0.000, 0.887], [0.500, 0.500, 0.500]],
  "magnetic_moment_mub_per_fu": 0.0,
  "spacegroup": "I4/mmm (139)",
  "e_tot_ha_per_atom": -0.119,
  "n_ef_per_ev_cell": 7.17,
  "volume_a3_per_cell": 343.9,
  "formation_enthalpy_0k_ev_per_atom": -0.180
}

---

Record 6
{
  "formula": "ScSb4Au",
  "functional": "GGA-PBE",
  "state": "relaxed",
  "cell": [[0.000, 4.324, 4.324], [4.324, 0.000, 4.324], [4.324, 4.324, 0.000]],
  "species": ["Sc", "Sb", "Sb", "Sb", "Sb", "Au"],
  "frac_coords": [[0.000, 0.000, 0.000], [0.376, 0.376, 0.376], [0.376, 0.376, 0.873], [0.376, 0.873, 0.376], [0.873, 0.376, 0.376], [0.750, 0.750, 0.750]],
  "magnetic_moment_mub_per_fu": 0.0,
  "spacegroup": "F-43m (216)",
  "formation_energy_uncorrected_ev_per_atom": 0.21,
  "e_tot_ha_per_atom": -0.152,
  "n_ef_per_ev_cell": 3.73,
  "volume_a3_per_cell": 161.7
}